1.
The following is a PBE calculation of crystalline Cu2RuSe at its relaxed geometry, from Alexandria.

Unit cell a=4.236 b=3.001 c=4.561 alpha=90.00 beta=103.58 gamma=90.00
Fractional coordinates of all 4 atoms:
Cu1 0.000 0.000 0.000
Cu2 0.500 0.500 0.000
Ru1 0.000 0.500 0.500
Se1 0.500 0.000 0.500

Calculated values
formation energy from raw total energies = 1.27 eV/f.u.
DOS at the Fermi energy = 4.6 states/eV/cell
space-group type = No. 10
E = -19.69 eV/f.u.
volume = 56 Å³/cell

***

2.
The following is a PBE calculation of crystalline ScTaFe2 at its relaxed geometry, from Alexandria.

Unit cell a=3.067 b=3.067 c=6.219 alpha=90.00 beta=90.00 gamma=90.00
Fractional coordinates of all 4 atoms:
Sc1 0.000 0.000 0.000
Ta1 0.000 0.000 0.500
Fe1 0.500 0.500 0.268
Fe2 0.500 0.500 0.732

Calculated values
DOS at the Fermi energy = 1.2 states/eV/cell
relative energy among the computed polymorphs = 0.0 meV/atom
space-group type = No. 123
E = -35.99 eV/f.u.
volume = 58 Å³/cell
energy of formation = -219 meV per atom

***

3.
The following is a PBE calculation of crystalline TlCo2P at its relaxed geometry, from Alexandria.

Unit cell a=2.846 b=2.846 c=6.867 alpha=90.00 beta=90.00 gamma=90.00
Fractional coordinates of all 4 atoms:
Tl1 0.000 0.000 0.000
Co1 0.500 0.500 0.322
Co2 0.500 0.500 0.678
P1 0.000 0.000 0.500

Calculated values
DOS at the Fermi energy = 3.1 states/eV/cell
space-group type = No. 123
E = -21.49 eV/f.u.
volume = 56 Å³/cell
energy of formation = 126 meV per atom

***

4.
The following is a PBE calculation of crystalline V2CoRe at its relaxed geometry, from Alexandria.

Unit cell a=5.329 b=5.329 c=5.329 alpha=102.73 beta=102.73 gamma=124.01
Fractional coordinates of all 8 atoms:
V1 0.105 0.625 0.980
V2 0.375 0.355 0.480
V3 0.645 0.125 0.020
V4 0.875 0.895 0.520
Co1 0.000 0.000 0.000
Co2 0.750 0.250 0.500
Re1 0.250 0.750 0.500
Re2 0.500 0.500 0.000

Calculated values
DOS at the Fermi energy = 10.6 states/eV/cell
relative energy among the computed polymorphs = 646.5 meV/atom
space-group type = No. 122
E = -35.99 eV/f.u.
volume = 111 Å³/cell
energy of formation = 450 meV per atom

***

5.
The following is a PBE calculation of crystalline SmCdGaPd at its relaxed geometry, from Alexandria.

Unit cell a=4.890 b=4.890 c=4.890 alpha=60.00 beta=60.00 gamma=60.00
Fractional coordinates of all 4 atoms:
Sm1 0.000 0.000 0.000
Cd1 0.500 0.500 0.500
Ga1 0.750 0.750 0.750
Pd1 0.250 0.250 0.250

Calculated values
DOS at the Fermi energy = 1.1 states/eV/cell
space-group type = No. 216
E = -16.06 eV/f.u.
volume = 83 Å³/cell
energy of formation = -552 meV per atom

***

6.
The following is a PBE calculation of crystalline BaBH2 at its relaxed geometry, from Alexandria.

Unit cell a=5.888 b=5.888 c=5.888 alpha=135.66 beta=135.66 gamma=64.51
Fractional coordinates of all 8 atoms:
Ba1 0.375 0.625 0.750
Ba2 0.625 0.375 0.250
B1 0.125 0.875 0.250
B2 0.875 0.125 0.750
H1 0.000 0.000 0.000
H2 0.000 0.000 0.500
H3 0.000 0.500 0.000
H4 0.500 0.000 0.500

Calculated values
DOS at the Fermi energy = 3.9 states/eV/cell
relative energy among the computed polymorphs = 0.0 meV/atom
space-group type = No. 141
E = -13.59 eV/f.u.
volume = 98 Å³/cell

***

7.
The following is a PBE calculation of crystalline Sr5LiCd2 at its relaxed geometry, from Alexandria.

Unit cell a=10.280 b=10.280 c=10.280 alpha=127.94 beta=127.94 gamma=76.73
Fractional coordinates of all 16 atoms:
Sr1 0.000 0.000 0.000
Sr2 0.020 0.520 0.827
Sr3 0.194 0.020 0.500
Sr4 0.306 0.806 0.827
Sr5 0.480 0.306 0.500
Sr6 0.500 0.500 0.000
Sr7 0.520 0.694 0.500
Sr8 0.694 0.194 0.173
Sr9 0.806 0.980 0.500
Sr10 0.980 0.480 0.173
Li1 0.250 0.250 0.000
Li2 0.750 0.750 0.000
Cd1 0.127 0.373 0.500
Cd2 0.373 0.873 0.246
Cd3 0.627 0.127 0.754
Cd4 0.873 0.627 0.500

Calculated values
DOS at the Fermi energy = 14.2 states/eV/cell
space-group type = No. 140
E = -13.50 eV/f.u.
volume = 656 Å³/cell
energy of formation = -169 meV per atom

***

8.
The following is a PBE calculation of crystalline Dy5Hg2Pt2 at its relaxed geometry, from Alexandria.

Unit cell a=8.739 b=8.739 c=7.660 alpha=90.00 beta=90.00 gamma=52.36
Fractional coordinates of all 18 atoms:
Dy1 0.000 0.000 0.000
Dy2 0.049 0.705 0.668
Dy3 0.205 0.549 0.168
Dy4 0.295 0.951 0.668
Dy5 0.451 0.795 0.168
Dy6 0.500 0.500 0.500
Dy7 0.549 0.205 0.832
Dy8 0.705 0.049 0.332
Dy9 0.795 0.451 0.832
Dy10 0.951 0.295 0.332
Hg1 0.213 0.213 0.000
Hg2 0.287 0.287 0.500
Hg3 0.713 0.713 0.500
Hg4 0.787 0.787 0.000
Pt1 0.132 0.868 0.366
Pt2 0.368 0.632 0.866
Pt3 0.632 0.368 0.134
Pt4 0.868 0.132 0.634

Calculated values
DOS at the Fermi energy = 15.3 states/eV/cell
space-group type = No. 64
E = -42.90 eV/f.u.
volume = 463 Å³/cell
energy of formation = -800 meV per atom

***

9.
The following is a PBE calculation of crystalline K2CaGa2 at its relaxed geometry, from Alexandria.

Unit cell a=7.922 b=7.922 c=5.900 alpha=90.00 beta=90.00 gamma=90.00
Fractional coordinates of all 10 atoms:
K1 0.176 0.324 0.000
K2 0.324 0.824 0.000
K3 0.676 0.176 0.000
K4 0.824 0.676 0.000
Ca1 0.000 0.000 0.500
Ca2 0.500 0.500 0.500
Ga1 0.111 0.611 0.500
Ga2 0.389 0.111 0.500
Ga3 0.611 0.889 0.500
Ga4 0.889 0.389 0.500

Calculated values
DOS at the Fermi energy = 8.9 states/eV/cell
space-group type = No. 127
E = -10.12 eV/f.u.
volume = 370 Å³/cell
energy of formation = 27 meV per atom

***

10.
The following is a PBE calculation of crystalline TaTcHg2W at its relaxed geometry, from Alexandria.

Unit cell a=5.051 b=5.051 c=4.609 alpha=90.00 beta=90.00 gamma=90.00
Fractional coordinates of all 5 atoms:
Ta1 0.000 0.000 0.000
Tc1 0.500 0.500 0.500
Hg1 0.000 0.500 0.500
Hg2 0.500 0.000 0.500
W1 0.500 0.500 0.000

Calculated values
DOS at the Fermi energy = 8.1 states/eV/cell
space-group type = No. 123
E = -26.16 eV/f.u.
volume = 118 Å³/cell
energy of formation = 1923 meV per atom

***

11.
The following is a PBE calculation of crystalline PaZn2Au at its relaxed geometry, from Alexandria.

Unit cell a=5.163 b=5.163 c=5.163 alpha=51.32 beta=51.32 gamma=51.32
Fractional coordinates of all 4 atoms:
Pa1 0.000 0.000 0.000
Zn1 0.227 0.227 0.227
Zn2 0.773 0.773 0.773
Au1 0.500 0.500 0.500

Calculated values
DOS at the Fermi energy = 4.2 states/eV/cell
relative energy among the computed polymorphs = 116.9 meV/atom
space-group type = No. 166
E = -15.74 eV/f.u.
volume = 77 Å³/cell
energy of formation = -105 meV per atom

***

12.
The following is a PBE calculation of crystalline RbNaSn2 at its relaxed geometry, from Alexandria.

Unit cell a=11.823 b=11.823 c=11.823 alpha=152.37 beta=152.37 gamma=39.47
Fractional coordinates of all 8 atoms:
Rb1 0.000 0.000 0.000
Rb2 0.750 0.250 0.500
Na1 0.250 0.750 0.500
Na2 0.500 0.500 0.000
Sn1 0.325 0.625 0.200
Sn2 0.375 0.575 0.700
Sn3 0.425 0.125 0.800
Sn4 0.875 0.675 0.300

Calculated values
DOS at the Fermi energy = 3.9 states/eV/cell
relative energy among the computed polymorphs = 196.7 meV/atom
space-group type = No. 122
E = -10.19 eV/f.u.
volume = 355 Å³/cell
energy of formation = 25 meV per atom